This record from Alexandria via LeMat-Bulk describes an optimized crystal structure of BePbF3. The functional is PBE.

```
BePbF3
1.0
4.728 0.000 0.000
0.000 4.728 0.000
0.000 0.000 4.728
Be Pb F
1 1 3
Cartesian
0.000 0.000 0.000
2.364 2.364 2.364
0.000 2.364 2.364
2.364 0.000 2.364
2.364 2.364 0.000
```

Computed properties:
- spin magnetization (μB/cell) = 0.84
- raw formation energy (meV per atom) = -1093
- VASP energy (eV per atom) = -3.70